Entry from Alexandria: In2SiBiCl at its PBEsol-relaxed geometry (SCAN).

a = 5.281 Å, b = 5.321 Å, c = 5.321 Å
α = 90.00°, β = 90.00°, γ = 90.00°
Positions (direct):
Si 0.000 0.000 0.000
Cl 0.500 0.500 0.500
Bi 0.500 0.000 0.000
In 0.000 0.000 0.500
In 0.000 0.500 0.000

- Space-group type: P4/mmm
- ΔE_f (raw): 0.253 eV/atom
- Calculated total energy: -162.08 eV/cell
- N(E_F): 2.5 states/eV/cell



Entry from Alexandria: La2CoCu at its PBEsol-relaxed geometry (SCAN).

a = 4.081 Å, b = 4.081 Å, c = 7.258 Å
α = 73.67°, β = 73.67°, γ = 60.00°
Positions (direct):
Co 0.543 0.543 0.372
Cu 0.208 0.208 0.376
La 0.963 0.963 0.112
La 0.787 0.787 0.640

- Space-group type: R3m
- Calculated total energy: -118.82 eV/cell
- DFT formation energy: -0.03 eV/atom
- N(E_F): 3.4 states/eV/cell



Entry from Alexandria: TaFeAg2 at its PBEsol-relaxed geometry (SCAN).

a = 2.745 Å, b = 2.745 Å, c = 8.230 Å
α = 90.00°, β = 90.00°, γ = 90.07°
Positions (direct):
Ag 0.000 0.000 0.268
Ag 0.000 0.000 0.732
Fe 0.500 0.500 0.500
Ta 0.500 0.500 0.000

- Energy above the most stable polymorph in this dataset: 0 meV/atom
- Space-group type: P4/mmm
- Calculated total energy: -146.03 eV/cell
- DFT formation energy: 0.36 eV/atom
- N(E_F): 2.6 states/eV/cell